Density functional theory data (PBE with a Hubbard U) for Cd2Mo3O8 after structural relaxation.

```
26
Lattice="6.422 0.000 0.000 -3.211 5.562 0.000 0.000 0.000 10.293" Properties=species:S:1:pos:R:3 pbc="T T T"
Cd 0.000 3.708 0.000
Cd 0.000 3.708 4.006
Cd 3.211 1.854 5.147
Cd 3.211 1.854 9.152
Mo 0.000 1.818 6.978
Mo -1.636 4.653 6.978
Mo 1.575 0.909 1.832
Mo 1.636 4.653 6.978
Mo 4.848 0.909 1.832
Mo 3.211 3.743 1.832
O 0.000 0.000 0.767
O 0.000 0.000 5.913
O -1.381 2.910 5.828
O 0.000 1.777 2.765
O -1.673 4.674 2.765
O 1.539 0.888 7.911
O 0.000 3.708 8.074
O 1.381 2.910 5.828
O 0.000 5.303 5.828
O 3.211 0.259 0.682
O 1.830 2.652 0.682
O 3.211 1.854 2.928
O 1.673 4.674 2.765
O 4.884 0.888 7.911
O 3.211 3.785 7.911
O 4.593 2.652 0.682
```

## Properties
- Total energy: -164.41 eV for the cell shown